# MnTl2Cr3F12 PBE+U optimized geometry
# electronic total energy = -5.70 eV per atom
data_MnTl2Cr3F12
_cell_length_a 7.6107
_cell_length_b 7.6107
_cell_length_c 18.3856
_cell_angle_alpha 90.00
_cell_angle_beta 90.00
_cell_angle_gamma 120.00
_space_group_name_H-M_alt 'R -3 m'
_space_group_IT_number 166
_space_group_name_Hall '-R 3 2"'
loop_
_atom_site_label
_atom_site_fract_x
_atom_site_fract_y
_atom_site_fract_z
Mn1 0.0000 0.0000 0.0000
Tl1 0.0000 0.0000 0.3345
Cr1 0.0000 0.5000 0.5000
F1 0.0597 0.5298 0.6048
F2 0.0878 0.5439 0.8545